Record 1
# Ba3TiS5

An optimized crystal structure of Ba3TiS5 (GGA-PBEsol, Alexandria).

Raw formation energy in meV per atom: -1895
Space-group type: I4/mcm, No. 140

The structure in POSCAR format:
```
Ba3TiS5
1.0
-4.185 4.185 6.881
4.185 -4.185 6.881
4.185 4.185 -6.881
Ba Ti S
6 2 10
direct
0.160 0.660 0.820 Ba
0.250 0.250 0.000 Ba
0.340 0.160 0.500 Ba
0.660 0.840 0.500 Ba
0.750 0.750 0.000 Ba
0.840 0.340 0.180 Ba
0.250 0.750 0.500 Ti
0.750 0.250 0.500 Ti
0.000 0.000 0.000 S
0.002 0.802 0.500 S
0.198 0.698 0.200 S
0.302 0.502 0.500 S
0.498 0.998 0.800 S
0.500 0.500 0.000 S
0.502 0.002 0.200 S
0.698 0.498 0.500 S
0.802 0.302 0.800 S
0.998 0.198 0.500 S
```


Record 2
# ReMoCl

An optimized crystal structure of ReMoCl (GGA-PBEsol, Alexandria).

D(E_F) in states/eV/cell: 1.2
Raw formation energy in meV per atom: 565
Space-group type: P3m1, No. 156

The structure in POSCAR format:
```
ReMoCl
1.0
4.149 0.000 0.000
-2.074 3.593 0.000
0.000 0.000 2.902
Re Mo Cl
1 1 1
direct
0.000 0.000 0.000 Re
0.333 0.667 0.531 Mo
0.667 0.333 0.764 Cl
```


Record 3
# FeCoCu2P

An optimized crystal structure of FeCoCu2P (GGA-PBEsol, Alexandria).

D(E_F) in states/eV/cell: 4.5
Formation energy in eV per atom: 1.199
Space-group type: P4/mmm, No. 123

The structure in POSCAR format:
```
FeCoCu2P
1.0
4.290 0.000 0.000
0.000 4.290 0.000
0.000 0.000 4.189
Fe Co Cu P
1 1 2 1
direct
0.000 0.000 0.000 Fe
0.000 0.000 0.500 Co
0.000 0.500 0.500 Cu
0.500 0.000 0.500 Cu
0.500 0.500 0.000 P
```


Record 4
# ZnCd5

An optimized crystal structure of ZnCd5 (GGA-PBEsol, Alexandria).

D(E_F) in states/eV/cell: 1.6
Formation energy in eV per atom: 0.035
Space-group type: Cm, No. 8

The structure in POSCAR format:
```
ZnCd5
1.0
6.064 -1.439 0.000
6.064 1.439 0.000
-2.702 0.000 6.855
Zn Cd
1 5
direct
0.000 0.000 0.000 Zn
0.296 0.296 0.064 Cd
0.333 0.333 0.672 Cd
0.610 0.610 0.753 Cd
0.665 0.665 0.317 Cd
0.958 0.958 0.403 Cd
```


no.,E_tot (eV/atom)
1,-5.972
2,-8.471
3,-5.033
4,-1.226